A plane-wave DFT calculation with PBE was carried out for a relaxed structure of HfTiTl2.

Properties
V in Å³/f.u.: 86.6
Total DFT energy (no corrections) in eV per cell: -21.5
Total magnetic moment in μB/atom: 0.38

Cell lengths 4.9655, 4.9655, 4.9655 Å; angles 60.00, 60.00, 60.00 degrees
Closest atoms and distances in Å follow each position.
Element x y z (fractional)
1 Tl 0.7500 0.7500 0.7500  4 Hf 3.04, 4 Ti 3.04
2 Tl 0.2500 0.2500 0.2500  4 Hf 3.04, 4 Ti 3.04
3 Ti 0.0000 0.0000 0.0000  8 Tl 3.04
4 Hf 0.5000 0.5000 0.5000  8 Tl 3.04